Entry 1:
DFT (PBE-GGA) results for crystalline Li2Zn3Pt4 at its relaxed geometry.

For the volume, the calculation gives 14.319 Å³ per atom. The value obtained for the total energy is -4.08 eV per atom. As for the formation energy: -4.9 eV per formula unit.

a b c (Å): 4.6623 4.6623 8.0872
angles (deg): 106.02 106.02 50.33
Atoms (fractional coordinates):
Li: 0.1750 0.1750 0.2196
Li: 0.8250 0.8250 0.7804
Zn: 0.1599 0.1599 0.5614
Zn: 0.5000 0.5000 0.0000
Zn: 0.8401 0.8401 0.4386
Pt: 0.1617 0.1617 0.8893
Pt: 0.4815 0.4815 0.6621
Pt: 0.5185 0.5185 0.3379
Pt: 0.8383 0.8383 0.1107

Entry 2:
DFT (PBE-GGA) results for crystalline CdInSnI2 at its relaxed geometry.

The calculation puts the formation energy without anion corrections at -63 meV per atom. For the volume, the calculation gives 44.231 Å³ per atom. The value obtained for the total energy is -2.21 eV per atom.

a b c (Å): 6.2331 6.2331 5.6924
angles (deg): 90.00 90.00 90.00
Atoms (fractional coordinates):
Cd: 0.0000 0.0000 0.0000
In: 0.5000 0.5000 0.0000
Sn: 0.0000 0.0000 0.5000
I: 0.0000 0.5000 0.5000
I: 0.5000 0.0000 0.5000